a.
## SiPd3Au (PBE-GGA)

Data for a geometry-optimized SiPd3Au structure.

Geometry as POSCAR:
```
SiPd3Au
1.0
4.787 0.000 0.000
0.000 6.097 -0.001
0.000 0.001 5.701
Pd Au Si
6 2 2
Cartesian
2.072 5.597 5.404
4.430 0.185 3.996
2.036 1.967 1.144
4.466 2.652 5.436
2.072 5.598 2.584
4.466 2.651 2.554
4.485 0.094 1.144
2.092 2.058 3.995
3.112 4.035 1.145
0.718 4.213 3.994
```

Output
* crystal system: orthorhombic
* DOS at the Fermi energy: 0.3485 states/eV/atom

b.
## SiPd3Au (PBE-GGA)

Data for a geometry-optimized SiPd3Au structure.

Geometry as POSCAR:
```
SiPd3Au
1.0
-1.403 0.224 4.726
-2.621 -4.141 -0.582
3.939 -2.675 1.296
Pd Si Au
3 1 1
Cartesian
1.969 -1.338 0.648
-1.310 -2.070 -0.291
-0.702 0.112 2.363
-0.042 -3.296 2.720
0.000 0.000 0.000
```

Output
* crystal system: cubic
* DOS at the Fermi energy: 1.4469 states/eV/atom

The structure shown above that is least stable: b.